(1)
# MgFe2W, relaxed, DFT PBE-GGA
# crystal system: tetragonal
# density: 9.76 g/cm³
# size of the total moment: 0.09 μB/cell
# formation energy from the elements: 0.49 eV per formula unit
data_MgFe2W
_symmetry_space_group_name_H-M 'P 4/m m m'
_symmetry_Int_Tables_number 123
_symmetry_space_group_name_Hall '-P 4 2'
_cell_length_a 2.990
_cell_length_b 2.990
_cell_length_c 6.089
_cell_angle_alpha 90.00
_cell_angle_beta 90.00
_cell_angle_gamma 90.00
loop_
_atom_site_label
_atom_site_type_symbol
_atom_site_fract_x
_atom_site_fract_y
_atom_site_fract_z
_atom_site_occupancy
Mg1 Mg 0.000 0.000 0.000 1
Fe1 Fe 0.500 0.500 0.274 1
W1 W 0.000 0.000 0.500 1

---

(2)
# MgFe2W, relaxed, DFT PBE-GGA
# crystal system: monoclinic
# density: 9.43 g/cm³
# size of the total moment: 3.90 μB/cell
# formation energy from the elements: 1.17 eV per formula unit
data_MgFe2W
_symmetry_space_group_name_H-M 'P 1 m 1'
_symmetry_Int_Tables_number 6
_cell_length_a 2.629
_cell_length_b 4.358
_cell_length_c 4.977
_cell_angle_alpha 90.00
_cell_angle_beta 99.08
_cell_angle_gamma 90.00
loop_
_symmetry_equiv_pos_as_xyz
'x,y,z'
'x,-y,z'
loop_
_atom_site_label
_atom_site_type_symbol
_atom_site_fract_x
_atom_site_fract_y
_atom_site_fract_z
_atom_site_occupancy
Mg1 Mg 0.000 0.000 0.000 1
Fe1 Fe 0.304 0.500 0.790 1
Fe2 Fe 0.453 0.000 0.516 1
W1 W 0.733 0.500 0.309 1

---

(3)
# MgFeW, relaxed, DFT PBE-GGA
# crystal system: tetragonal
# density: 9.82 g/cm³
# size of the total moment: 0.00 μB/cell
# ΔE to the lowest computed polymorph: 0.0 meV/atom
# formation energy from the elements: 0.82 eV per formula unit
data_MgFeW
_symmetry_space_group_name_H-M 'I 4 m m'
_symmetry_Int_Tables_number 107
_symmetry_space_group_name_Hall 'I 4 -2'
_cell_length_a 2.963
_cell_length_b 2.963
_cell_length_c 10.176
_cell_angle_alpha 90.00
_cell_angle_beta 90.00
_cell_angle_gamma 90.00
loop_
_atom_site_label
_atom_site_type_symbol
_atom_site_fract_x
_atom_site_fract_y
_atom_site_fract_z
_atom_site_occupancy
Mg1 Mg 0.000 0.000 0.000 1
Fe1 Fe 0.000 0.000 0.329 1
W1 W 0.000 0.000 0.700 1

---

(4)
# MgFe2W, relaxed, DFT PBE-GGA
# crystal system: cubic
# density: 9.62 g/cm³
# size of the total moment: 15.81 μB/cell
# formation energy from the elements: 1.74 eV per formula unit
data_MgFe2W
_symmetry_space_group_name_H-M 'F -4 3 m'
_symmetry_Int_Tables_number 216
_symmetry_space_group_name_Hall 'F -4 2 3'
_cell_length_a 6.044
_cell_length_b 6.044
_cell_length_c 6.044
_cell_angle_alpha 90.00
_cell_angle_beta 90.00
_cell_angle_gamma 90.00
loop_
_atom_site_label
_atom_site_type_symbol
_atom_site_fract_x
_atom_site_fract_y
_atom_site_fract_z
_atom_site_occupancy
Mg1 Mg 0.000 0.000 0.000 1
Fe1 Fe 0.000 0.000 0.500 1
Fe2 Fe 0.250 0.250 0.250 1
W1 W 0.250 0.250 0.750 1

---

- The lowest formation energy from the elements belongs to which entry?
  number 1

---

- density of number 2 (MgFe2W)?
  9.43 g/cm³

---

- Look up the density of the third one.
  9.82 g/cm³